(1)
VASP calculation (PBE) on a geometry-optimized Ti3Tc2Sn structure.

Values from the calculation:
Electronic total energy = -8.539 eV per atom
DOS at the Fermi energy = 1.88 states/eV per cell
Magnetization = 0.00 μB/f.u.
ΔE_f = -45 kJ/mol of atoms
Calculated density = 7.79 g cm⁻³

a = 3.2318 Å, b = 3.2318 Å, c = 9.3547 Å
α = 90.00°, β = 90.00°, γ = 90.00°
Positions (direct):
Ti 0.0000 0.0000 0.0000
Ti 0.0000 0.0000 0.3089
Ti 0.0000 0.0000 0.6911
Tc 0.5000 0.5000 0.8346
Tc 0.5000 0.5000 0.1654
Sn 0.5000 0.5000 0.5000

=====

(2)
VASP calculation (PBE) on a geometry-optimized DyY3Ir8 structure.

Values from the calculation:
Electronic total energy = -8.709 eV per atom
DOS at the Fermi energy = 9.28 states/eV per cell
Magnetization = 0.00 μB/f.u.
ΔE_f = -77 kJ/mol of atoms
Calculated density = 14.96 g cm⁻³

a = 5.3666 Å, b = 5.3666 Å, c = 9.2866 Å
α = 73.21°, β = 73.21°, γ = 60.00°
Positions (direct):
Y 0.5000 0.5000 0.4999
Y 0.9999 0.9999 0.0002
Y 0.3750 0.3750 0.8749
Ir 0.9375 0.4377 0.6873
Ir 0.6875 0.6875 0.9375
Ir 0.9375 0.9375 0.6873
Ir 0.4375 0.4375 0.1878
Ir 0.9373 0.4375 0.1878
Ir 0.4375 0.9373 0.1878
Ir 0.4377 0.9375 0.6873
Ir 0.1875 0.1875 0.4374
Dy 0.8750 0.8750 0.3751

=====

(3)
VASP calculation (PBE) on a geometry-optimized RbCdHg2Bi structure.

Values from the calculation:
Electronic total energy = -1.442 eV per atom
DOS at the Fermi energy = 2.82 states/eV per cell
Magnetization = 0.00 μB/f.u.
ΔE_f = -16 kJ/mol of atoms
Calculated density = 8.10 g cm⁻³
Relative energy among the computed polymorphs = 0.0000 eV per atom

a = 5.0443 Å, b = 5.0787 Å, c = 7.3898 Å
α = 110.10°, β = 109.96°, γ = 90.00°
Positions (direct):
Hg 0.0612 0.0612 0.1224
Hg 0.6849 0.1849 0.3699
Cd 0.1919 0.6919 0.3838
Bi 0.8268 0.8268 0.6537
Rb 0.4473 0.4473 0.8946

=====

(4)
VASP calculation (PBE) on a geometry-optimized KCoHg structure.

Values from the calculation:
Electronic total energy = -2.341 eV per atom
DOS at the Fermi energy = 4.31 states/eV per cell
Magnetization = 1.43 μB/f.u.
ΔE_f = 48 kJ/mol of atoms
Calculated density = 6.19 g cm⁻³
Relative energy among the computed polymorphs = 0.0000 eV per atom

a = 6.5666 Å, b = 6.5666 Å, c = 3.6402 Å
α = 73.91°, β = 73.91°, γ = 32.18°
Positions (direct):
Hg 0.3944 0.3944 0.6056
Co 0.9366 0.9366 0.0634
K 0.6690 0.6690 0.3310

=====

(5)
VASP calculation (PBE) on a geometry-optimized CaInSi2 structure.

Values from the calculation:
Electronic total energy = -4.021 eV per atom
DOS at the Fermi energy = 1.09 states/eV per cell
Magnetization = 0.00 μB/f.u.
Calculated density = 3.80 g cm⁻³

a = 3.7817 Å, b = 4.6210 Å, c = 5.6512 Å
α = 68.97°, β = 90.00°, γ = 90.00°
Positions (direct):
In 0.5000 0.7932 0.8264
Ca 0.0000 0.4728 0.4154
Si 0.5000 0.0243 0.2703
Si 0.0000 0.2097 0.9879

=====

(6)
VASP calculation (PBE) on a geometry-optimized DyScInHg structure.

Values from the calculation:
Electronic total energy = -3.926 eV per atom
DOS at the Fermi energy = 4.51 states/eV per cell
Magnetization = 0.47 μB/f.u.
ΔE_f = -42 kJ/mol of atoms
Calculated density = 8.92 g cm⁻³

a = 5.1627 Å, b = 5.1627 Å, c = 5.1627 Å
α = 60.00°, β = 60.00°, γ = 60.00°
Positions (direct):
In 0.2500 0.2500 0.2500
Hg 0.7500 0.7500 0.7500
Sc 0.0000 0.0000 0.0000
Dy 0.5000 0.5000 0.5000

=====

(7)
VASP calculation (PBE) on a geometry-optimized BaCaB structure.

Values from the calculation:
Electronic total energy = -3.327 eV per atom
DOS at the Fermi energy = 5.11 states/eV per cell
Magnetization = 0.00 μB/f.u.
ΔE_f = 20 kJ/mol of atoms
Calculated density = 2.99 g cm⁻³
Relative energy among the computed polymorphs = 0.0535 eV per atom

a = 4.8094 Å, b = 5.9510 Å, c = 7.7730 Å
α = 98.86°, β = 107.68°, γ = 90.14°
Positions (direct):
Ba 0.8473 0.3493 0.1403
Ba 0.0567 0.9160 0.5710
B 0.6765 0.9964 0.8136
B 0.7381 0.7922 0.9226
Ca 0.6033 0.4178 0.6651
Ca 0.3045 0.8293 0.0558

=====

(8)
VASP calculation (PBE) on a geometry-optimized Tb2AlC structure.

Values from the calculation:
Electronic total energy = -5.532 eV per atom
DOS at the Fermi energy = 2.49 states/eV per cell
Magnetization = 0.00 μB/f.u.
ΔE_f = 2 kJ/mol of atoms
Calculated density = 6.11 g cm⁻³

a = 3.5233 Å, b = 3.5233 Å, c = 9.2460 Å
α = 79.02°, β = 79.02°, γ = 60.00°
Positions (direct):
Al 0.0000 0.0000 0.0000
C 0.5000 0.5000 0.5000
Tb 0.8832 0.8832 0.3505
Tb 0.1168 0.1168 0.6495